1.
Hf6PtAu: optimized geometry, PBE.

Properties
Space-group type: R-3, No. 148
ΔH_f (0 K) in meV/atom: -409
Total magnetic moment in Bohr magnetons per cell: 0.000

Lattice parameters (Å, degrees): 5.4307 5.4307 5.4307 89.91 89.91 89.91
Last column: nearest neighbours and their distance in Å.
Positions (direct):
Hf  0.0015  0.7478  0.4994  2 Hf 2.69-2.74
Hf  0.2522  0.5006  0.9985  2 Hf 2.69-2.74
Hf  0.4994  0.0015  0.7478  2 Hf 2.69-2.74
Hf  0.5006  0.9985  0.2522  2 Hf 2.69-2.74
Hf  0.7478  0.4994  0.0015  2 Hf 2.69-2.74
Hf  0.9985  0.2522  0.5006  2 Hf 2.69-2.74
Pt  0.5000  0.5000  0.5000  12 Hf 3.02-3.04
Au  0.0000  0.0000  0.0000  12 Hf 3.04-3.05

***

2.
Zn2CdIr: optimized geometry, PBE.

Properties
Space-group type: I-4m2, No. 119
ΔH_f (0 K) in meV/atom: -52
Total magnetic moment in Bohr magnetons per cell: 0.000

Lattice parameters (Å, degrees): 5.0612 5.0612 5.0612 135.54 135.54 64.69
Last column: nearest neighbours and their distance in Å.
Positions (direct):
Zn  0.0000  0.0000  0.0000  4 Ir 2.71, 4 Zn 2.87, 4 Cd 2.87
Zn  0.7500  0.2500  0.5000  4 Cd 2.71, 4 Ir 2.87, 4 Zn 2.87
Cd  0.2500  0.7500  0.5000  8 Zn 2.71-2.87, 4 Ir 2.87
Ir  0.5000  0.5000  0.0000  8 Zn 2.71-2.87, 4 Cd 2.87

***

3.
Er2GeC: optimized geometry, PBE.

Properties
Space-group type: R-3m, No. 166
ΔH_f (0 K) in meV/atom: -130
Total magnetic moment in Bohr magnetons per cell: 0.001

Lattice parameters (Å, degrees): 8.7017 8.7017 8.7017 23.44 23.44 23.44
Last column: nearest neighbours and their distance in Å.
Positions (direct):
Er  0.1151  0.1151  0.1151  3 C 2.42
Er  0.8849  0.8849  0.8849  3 C 2.42
Ge  0.0000  0.0000  0.0000  2 Er 2.92
C  0.5000  0.5000  0.5000  6 Er 2.42

***

4.
Pm2BiIr: optimized geometry, PBE.

Properties
Space-group type: Fm-3m, No. 225
ΔH_f (0 K) in meV/atom: -482
Total magnetic moment in Bohr magnetons per cell: 0.000

Lattice parameters (Å, degrees): 5.2945 5.2945 5.2945 60.00 60.00 60.00
Last column: nearest neighbours and their distance in Å.
Positions (direct):
Pm  0.2500  0.2500  0.2500  4 Bi 3.24, 4 Ir 3.24
Pm  0.7500  0.7500  0.7500  4 Bi 3.24, 4 Ir 3.24
Bi  0.0000  0.0000  0.0000  8 Pm 3.24
Ir  0.5000  0.5000  0.5000  8 Pm 3.24

***

5.
PPt2Pb: optimized geometry, PBE.

Properties
Space-group type: Cm, No. 8
ΔH_f (0 K) in meV/atom: -252
Total magnetic moment in Bohr magnetons per cell: 0.000

Lattice parameters (Å, degrees): 4.4017 4.4017 6.0212 98.26 98.26 44.62
Last column: nearest neighbours and their distance in Å.
Positions (direct):
P  0.0000  0.0000  0.0000  5 Pt 2.38-2.40
Pt  0.4584  0.4584  0.2710  2 P 2.40
Pt  0.7060  0.7060  0.9767  3 P 2.38-2.39
Pb  0.2095  0.2095  0.5485  5 Pt 2.82-3.08

***

6.
NpScPd14: optimized geometry, PBE.

Properties
Space-group type: P4/mmm, No. 123
ΔH_f (0 K) in meV/atom: -340
Total magnetic moment in Bohr magnetons per cell: 2.355

Lattice parameters (Å, degrees): 5.7312 5.7312 7.8509 90.00 90.00 90.00
Last column: nearest neighbours and their distance in Å.
Positions (direct):
Np  0.0000  0.0000  0.0000  12 Pd 2.83-2.87
Sc  0.5000  0.5000  0.0000  12 Pd 2.82-2.87
Pd  0.0000  0.0000  0.5000  12 Pd 2.82-2.87
Pd  0.0000  0.5000  0.0000  8 Pd 2.83, 2 Sc 2.87, 2 Np 2.87
Pd  0.0000  0.5000  0.5000  12 Pd 2.82-2.87
Pd  0.2507  0.2507  0.2508  10 Pd 2.81-2.87, 1 Sc 2.82, 1 Np 2.83
Pd  0.2507  0.2507  0.7492  10 Pd 2.81-2.87, 1 Sc 2.82, 1 Np 2.83
Pd  0.2507  0.7493  0.2508  10 Pd 2.81-2.87, 1 Sc 2.82, 1 Np 2.83
Pd  0.2507  0.7493  0.7492  10 Pd 2.81-2.87, 1 Sc 2.82, 1 Np 2.83
Pd  0.5000  0.0000  0.0000  8 Pd 2.83, 2 Sc 2.87, 2 Np 2.87
Pd  0.5000  0.0000  0.5000  12 Pd 2.82-2.87
Pd  0.5000  0.5000  0.5000  12 Pd 2.81-2.87
Pd  0.7493  0.2507  0.2508  10 Pd 2.81-2.87, 1 Sc 2.82, 1 Np 2.83
Pd  0.7493  0.2507  0.7492  10 Pd 2.81-2.87, 1 Sc 2.82, 1 Np 2.83
Pd  0.7493  0.7493  0.2508  10 Pd 2.81-2.87, 1 Sc 2.82, 1 Np 2.83
Pd  0.7493  0.7493  0.7492  10 Pd 2.81-2.87, 1 Sc 2.82, 1 Np 2.83